No. 1
This record from Alexandria via LeMat-Bulk describes a relaxed structure of Dy12Pa5Ga3. The functional is PBE.

Results
Energy relative to the elements, eV per formula unit: 21.46
Magnetic moment, μB per cell: 11.0
Calculated density, kg/m3: 8495
N(E_F), states/eV per cell: 165.35
Space-group type: No. 230
Total DFT energy (no corrections), eV/atom: -4.52

abc: 14.987 14.987 14.987
angles: 109.47 109.47 109.47
Last column: magnetic moment on the atom in μB.
Sites, in units of the cell vectors:
Dy 0.858 0.266 0.431  0.03
Dy 0.069 0.642 0.734  0.03
Dy 0.142 0.734 0.569  0.03
Dy 0.358 0.931 0.766  0.03
Dy 0.665 0.234 0.592  0.03
Dy 0.408 0.266 0.335  0.03
Dy 0.642 0.574 0.908  0.03
Dy 0.426 0.069 0.335  0.03
Dy 0.165 0.074 0.931  0.03
Dy 0.858 0.592 0.926  0.03
Dy 0.574 0.642 0.408  0.03
Dy 0.426 0.358 0.592  0.03
Dy 0.142 0.408 0.074  0.03
Dy 0.835 0.908 0.266  0.03
Dy 0.569 0.335 0.926  0.03
Dy 0.266 0.858 0.931  0.03
Dy 0.092 0.926 0.358  0.03
Dy 0.074 0.908 0.142  0.03
Dy 0.931 0.358 0.266  0.03
Dy 0.335 0.766 0.408  0.03
Dy 0.931 0.574 0.165  0.03
Dy 0.358 0.426 0.092  0.03
Dy 0.766 0.431 0.358  0.03
Dy 0.734 0.142 0.069  0.03
Dy 0.908 0.074 0.642  0.03
Dy 0.592 0.858 0.426  0.03
Dy 0.926 0.092 0.858  0.03
Dy 0.592 0.734 0.665  0.03
Dy 0.069 0.426 0.835  0.03
Dy 0.408 0.142 0.574  0.03
Dy 0.234 0.569 0.642  0.03
Dy 0.431 0.766 0.858  0.03
Dy 0.266 0.408 0.835  0.03
Dy 0.335 0.569 0.426  0.03
Dy 0.431 0.665 0.074  0.03
Dy 0.074 0.165 0.431  0.03
Dy 0.734 0.592 0.165  0.03
Dy 0.926 0.835 0.569  0.03
Dy 0.569 0.234 0.142  0.03
Dy 0.835 0.926 0.069  0.03
Dy 0.234 0.665 0.092  0.03
Dy 0.165 0.092 0.734  0.03
Dy 0.766 0.335 0.908  0.03
Dy 0.908 0.835 0.766  0.03
Dy 0.092 0.165 0.234  0.03
Dy 0.574 0.931 0.665  0.03
Dy 0.665 0.431 0.574  0.03
Dy 0.642 0.069 0.234  0.03
Ga 0.750 0.375 0.125  -0.02
Ga 0.250 0.625 0.875  -0.02
Ga 0.250 0.125 0.375  -0.02
Ga 0.375 0.750 0.625  -0.02
Ga 0.875 0.125 0.250  -0.02
Ga 0.625 0.375 0.750  -0.02
Ga 0.750 0.875 0.625  -0.02
Ga 0.125 0.250 0.875  -0.02
Ga 0.625 0.250 0.375  -0.02
Ga 0.125 0.875 0.750  -0.02
Ga 0.375 0.625 0.250  -0.02
Ga 0.875 0.750 0.125  -0.02
Pa 0.250 0.875 0.125  1.62
Pa 0.500 0.500 0.000  -1.24
Pa 0.750 0.125 0.875  1.62
Pa 0.000 0.000 0.000  -1.24
Pa 0.125 0.750 0.375  1.62
Pa 0.875 0.625 0.750  1.62
Pa 0.250 0.375 0.625  1.62
Pa 0.875 0.250 0.625  1.62
Pa 0.625 0.875 0.250  1.62
Pa 0.375 0.125 0.750  1.62
Pa 0.500 0.000 0.500  -1.24
Pa 0.375 0.250 0.125  1.62
Pa 0.500 0.500 0.500  -1.24
Pa 0.625 0.750 0.875  1.62
Pa 0.000 0.000 0.500  -1.24
Pa 0.125 0.375 0.250  1.62
Pa 0.500 0.000 0.000  -1.24
Pa 0.750 0.625 0.375  1.62
Pa 0.000 0.500 0.500  -1.24
Pa 0.000 0.500 0.000  -1.24

***

No. 2
This record from Alexandria via LeMat-Bulk describes a relaxed structure of Dy2PaGa. The functional is PBE.

Results
Energy relative to the elements, eV per formula unit: 0.74
Relative energy among the computed polymorphs, meV/atom: 348
Magnetic moment, μB per cell: 0.0
Calculated density, kg/m3: 9185
N(E_F), states/eV per cell: 3.98
Space-group type: No. 166
Total DFT energy (no corrections), eV/atom: -5.25

abc: 3.374 3.374 11.641
angles: 81.67 81.67 60.00
Sites, in units of the cell vectors:
Dy 0.087 0.087 0.739
Dy 0.913 0.913 0.261
Pa 0.500 0.500 0.500
Ga 0.000 0.000 0.000

***

No. 3
This record from Alexandria via LeMat-Bulk describes a relaxed structure of DyPa2Ga. The functional is PBE.

Results
Energy relative to the elements, eV per formula unit: 0.64
Relative energy among the computed polymorphs, meV/atom: 251
Magnetic moment, μB per cell: 0.0
Calculated density, kg/m3: 11669
N(E_F), states/eV per cell: 7.62
Space-group type: No. 166
Total DFT energy (no corrections), eV/atom: -6.49

abc: 3.161 3.161 11.564
angles: 82.14 82.14 60.00
Sites, in units of the cell vectors:
Dy 0.000 0.000 0.000
Pa 0.908 0.908 0.277
Pa 0.092 0.092 0.723
Ga 0.500 0.500 0.500

***

No. 4
This record from Alexandria via LeMat-Bulk describes a relaxed structure of Dy2PaGa. The functional is PBE.

Results
Energy relative to the elements, eV per formula unit: -0.27
Relative energy among the computed polymorphs, meV/atom: 96
Magnetic moment, μB per cell: 0.0
Calculated density, kg/m3: 10432
N(E_F), states/eV per cell: 4.28
Space-group type: No. 123
Total DFT energy (no corrections), eV/atom: -5.50

abc: 4.484 4.713 4.713
angles: 90.00 90.00 90.00
Sites, in units of the cell vectors:
Ga 0.500 0.000 0.000
Dy 0.000 0.500 0.000
Dy 0.000 0.000 0.500
Pa 0.500 0.500 0.500

***

No. 5
This record from Alexandria via LeMat-Bulk describes a relaxed structure of Dy2PaGa3Pt4. The functional is PBE.

Results
Energy relative to the elements, eV per formula unit: -8.69
Magnetic moment, μB per cell: 0.0
Calculated density, kg/m3: 12485
N(E_F), states/eV per cell: 7.25
Space-group type: No. 115
Total DFT energy (no corrections), eV/atom: -6.06

abc: 4.312 4.312 11.058
angles: 90.00 90.00 90.00
Sites, in units of the cell vectors:
Pt 0.500 0.000 0.655
Pt 0.000 0.000 0.000
Pt 0.500 0.500 0.000
Pt 0.000 0.500 0.345
Ga 0.000 0.500 0.123
Ga 0.500 0.000 0.877
Ga 0.000 0.000 0.500
Dy 0.500 0.000 0.218
Dy 0.000 0.500 0.782
Pa 0.500 0.500 0.500

***

No. 6
This record from Alexandria via LeMat-Bulk describes a relaxed structure of DyPaGaRe. The functional is PBE.

Results
Energy relative to the elements, eV per formula unit: -0.33
Magnetic moment, μB per cell: 0.0
Calculated density, kg/m3: 12535
N(E_F), states/eV per cell: 2.73
Space-group type: No. 216
Total DFT energy (no corrections), eV/atom: -7.48

abc: 4.955 4.955 4.955
angles: 60.00 60.00 60.00
Sites, in units of the cell vectors:
Re 0.000 0.000 0.000
Ga 0.500 0.500 0.500
Dy 0.250 0.250 0.250
Pa 0.750 0.750 0.750

***

> Which value of N(E_F) does entry 5 give?

7.25 states/eV per cell